No. 1
CdFeSb2: relaxed, PBE.

a b c (Å): 5.052 5.052 5.052
angles (deg): 60.00 60.00 60.00
Element x y z (fractional)
Sb  0.000  0.000  0.000
Sb  0.250  0.250  0.250
Fe  0.750  0.750  0.750
Cd  0.500  0.500  0.500

E_form (uncorrected) = 0.5794 eV/atom
final energy = -3.8263 eV per atom
space-group type = F-43m (216)

***

No. 2
CdFeSb2: relaxed, PBE.

a b c (Å): 5.283 5.283 6.382
angles (deg): 68.95 68.95 34.61
Element x y z (fractional)
Fe  0.300  0.300  0.377
Sb  0.907  0.907  0.028
Sb  0.726  0.726  0.726
Cd  0.567  0.567  0.370

E_form (uncorrected) = 0.1710 eV/atom
final energy = -4.2347 eV per atom
space-group type = Cm (8)

***

No. 3
CdFe2Sb: relaxed, PBE.

a b c (Å): 4.391 4.391 4.391
angles (deg): 60.00 60.00 60.00
Element x y z (fractional)
Fe  0.750  0.750  0.750
Fe  0.250  0.250  0.250
Cd  0.000  0.000  0.000
Sb  0.500  0.500  0.500

E_form (uncorrected) = 0.4521 eV/atom
final energy = -5.0386 eV per atom
space-group type = Fm-3m (225)
polymorph energy (0 for the lowest one) = 246 meV per atom

***

No. 4
CdFeSb2: relaxed, PBE.

a b c (Å): 5.859 5.859 5.859
angles (deg): 137.83 137.83 61.16
Element x y z (fractional)
Cd  0.500  0.500  0.000
Sb  0.250  0.750  0.500
Sb  0.000  0.000  0.000
Fe  0.750  0.250  0.500

E_form (uncorrected) = 0.4683 eV/atom
final energy = -3.9373 eV per atom
space-group type = I-4m2 (119)

***

No. 5
CdFe2Sb: relaxed, PBE.

a b c (Å): 4.578 4.578 4.578
angles (deg): 60.00 60.00 60.00
Element x y z (fractional)
Fe  0.250  0.250  0.250
Fe  0.000  0.000  0.000
Sb  0.750  0.750  0.750
Cd  0.500  0.500  0.500

E_form (uncorrected) = 0.5414 eV/atom
final energy = -4.9494 eV per atom
space-group type = F-43m (216)
polymorph energy (0 for the lowest one) = 335 meV per atom

***

No. 6
Cd4FeSb: relaxed, PBE.

a b c (Å): 5.731 5.731 5.731
angles (deg): 60.00 60.00 60.00
Element x y z (fractional)
Cd  0.376  0.873  0.376
Cd  0.873  0.376  0.376
Cd  0.376  0.376  0.873
Cd  0.376  0.376  0.376
Fe  0.750  0.750  0.750
Sb  0.000  0.000  0.000

E_form (uncorrected) = 0.4657 eV/atom
final energy = -2.2419 eV per atom
space-group type = F-43m (216)

***

No. 7
CdFeSb2: relaxed, PBE.

a b c (Å): 6.131 6.131 7.486
angles (deg): 65.83 65.83 90.00
Element x y z (fractional)
Cd  0.750  0.250  0.500
Cd  0.000  0.000  0.000
Fe  0.250  0.750  0.500
Fe  0.500  0.500  0.000
Sb  0.554  0.125  0.250
Sb  0.875  0.804  0.750
Sb  0.196  0.625  0.250
Sb  0.375  0.446  0.750

E_form (uncorrected) = 0.3682 eV/atom
final energy = -4.0374 eV per atom
space-group type = I-42d (122)

***

No. 8
CdFe2Sb: relaxed, PBE.

a b c (Å): 7.275 7.275 5.871
angles (deg): 51.71 51.71 90.00
Element x y z (fractional)
Cd  0.500  0.500  0.000
Cd  0.250  0.750  0.500
Fe  0.375  0.363  0.750
Fe  0.637  0.125  0.250
Fe  0.113  0.625  0.250
Fe  0.875  0.887  0.750
Sb  0.000  0.000  0.000
Sb  0.750  0.250  0.500

E_form (uncorrected) = 0.6318 eV/atom
final energy = -4.8589 eV per atom
space-group type = I-42d (122)
polymorph energy (0 for the lowest one) = 425 meV per atom